A relaxed Sr3CrO crystal. Source: the Alexandria database, functional PBE+U.

The total energy comes out at -4.368 eV/atom. The size of the total moment comes out at 5.21 μB/f.u. The space group is Pm-3m (221).

abc: 5.2797 5.2797 5.2797
angles: 90.00 90.00 90.00
Sites, in units of the cell vectors:
Sr (0.0000, 0.0000, 0.5000)
Sr (0.0000, 0.5000, 0.0000)
Sr (0.5000, 0.0000, 0.0000)
Cr (0.5000, 0.5000, 0.5000)
O (0.0000, 0.0000, 0.0000)


A relaxed SrCr2O crystal. Source: the Alexandria database, functional PBE+U.

The total energy comes out at -5.972 eV/atom. The size of the total moment comes out at 8.06 μB/f.u. The space group is I4_1/amd (141).

abc: 6.5321 6.5321 6.5321
angles: 120.06 120.06 89.90
Sites, in units of the cell vectors:
Sr (0.3750, 0.6250, 0.7500)
Sr (0.6250, 0.3750, 0.2500)
Cr (0.0000, 0.0000, 0.0000)
Cr (0.0000, 0.0000, 0.5000)
Cr (0.0000, 0.5000, 0.0000)
Cr (0.5000, 0.0000, 0.5000)
O (0.1250, 0.8750, 0.2500)
O (0.8750, 0.1250, 0.7500)


A relaxed Sr2CrO5 crystal. Source: the Alexandria database, functional PBE+U.

The total energy comes out at -6.510 eV/atom. The size of the total moment comes out at 0.00 μB/f.u. The space group is I4mm (107).

abc: 5.4359 5.4359 5.4359
angles: 115.40 115.40 98.17
Sites, in units of the cell vectors:
Sr (0.0000, 0.5000, 0.5000)
Sr (0.5000, 0.0000, 0.5000)
Cr (0.2727, 0.2727, 0.0000)
O (0.4249, 0.4249, 0.4263)
O (0.4249, 0.9987, 0.0000)
O (0.5029, 0.5029, 0.0000)
O (0.9987, 0.4249, 0.0000)
O (0.9987, 0.9987, 0.5737)


A relaxed SrCrO3 crystal. Source: the Alexandria database, functional PBE+U.

The total energy comes out at -6.999 eV/atom. The size of the total moment comes out at 2.00 μB/f.u. The space group is Pm (6).

abc: 5.5483 13.6525 5.5488
angles: 90.00 119.96 90.00
Sites, in units of the cell vectors:
Sr (0.0000, 0.0000, 0.0000)
Sr (0.0041, 0.5000, 0.9970)
Sr (0.3360, 0.1533, 0.6704)
Sr (0.3360, 0.8467, 0.6704)
Sr (0.6743, 0.3467, 0.3328)
Sr (0.6743, 0.6533, 0.3328)
Cr (0.0031, 0.2499, 0.9995)
Cr (0.0031, 0.7501, 0.9995)
Cr (0.3354, 0.4048, 0.6622)
Cr (0.3354, 0.5952, 0.6622)
Cr (0.6653, 0.0951, 0.3315)
Cr (0.6653, 0.9049, 0.3315)
O (0.0245, 0.5000, 0.5139)
O (0.1891, 0.3347, 0.3289)
O (0.1891, 0.6653, 0.3289)
O (0.2044, 0.3214, 0.8373)
O (0.2044, 0.6786, 0.8373)
O (0.3312, 0.1650, 0.1862)
O (0.3312, 0.8350, 0.1862)
O (0.4891, 0.5000, 0.9709)
O (0.4921, 0.5000, 0.5163)
O (0.5157, 0.0000, 0.0206)
O (0.5212, 0.0000, 0.4899)
O (0.7066, 0.3376, 0.8348)
O (0.7066, 0.6624, 0.8348)
O (0.8386, 0.1783, 0.1977)
O (0.8386, 0.8217, 0.1977)
O (0.8400, 0.1629, 0.7018)
O (0.8400, 0.8371, 0.7018)
O (0.9742, 0.0000, 0.4840)


Look up the size of the total moment of the first one. 5.21 μB/f.u.


The lowest size of the total moment belongs to which entry? Sr2CrO5


Which of these has the lowest size of the total moment? Sr2CrO5